The following is a PBE calculation of a geometry-optimized Fe2RePtN structure, from Alexandria via LeMat-Bulk.

formation energy (no corrections): -0.01 eV per atom
magnetization: 0.98 μB per atom

Cell lengths 3.924, 3.924, 3.969 Å; angles 90.00, 90.00, 90.00 degrees
Atoms (fractional coordinates):
Fe: 0.000 0.500 0.000
Fe: 0.500 0.000 0.000
Pt: 0.500 0.500 0.500
Re: 0.000 0.000 0.500
N: 0.000 0.000 0.000

=====

The following is a PBE calculation of a geometry-optimized Rb2Ca2Ge structure, from Alexandria via LeMat-Bulk.

magnetization: 0.00 μB per atom
calculated formation energy: -8 meV per atom

Cell lengths 8.102, 8.102, 7.239 Å; angles 90.00, 90.00, 90.00 degrees
Atoms (fractional coordinates):
Rb: 0.687 0.813 0.500
Rb: 0.313 0.187 0.500
Rb: 0.813 0.313 0.500
Rb: 0.187 0.687 0.500
Ca: 0.676 0.176 0.000
Ca: 0.824 0.676 0.000
Ca: 0.324 0.824 0.000
Ca: 0.176 0.324 0.000
Ge: 0.000 0.000 0.000
Ge: 0.500 0.500 0.000

=====

The following is a PBE calculation of a geometry-optimized Cs2TlHg2 structure, from Alexandria via LeMat-Bulk.

magnetization: 0.00 μB per atom
calculated formation energy: -200 meV per atom

Cell lengths 7.569, 7.575, 9.308 Å; angles 100.87, 90.00, 119.97 degrees
Atoms (fractional coordinates):
Cs: 0.222 0.700 0.359
Cs: 0.778 0.300 0.641
Cs: 0.523 0.300 0.141
Cs: 0.477 0.700 0.859
Tl: 0.096 0.000 0.750
Tl: 0.904 0.000 0.250
Hg: 0.013 0.739 0.997
Hg: 0.275 0.261 0.503
Hg: 0.987 0.261 0.003
Hg: 0.725 0.739 0.497

=====

The following theoretical density values (in g cm⁻³) correspond, in order, to the records above: 13.8; 2.3; 6.4.